Bi2SbS2 | PBE | relaxed

Geometry as POSCAR:
```
Bi2SbS2
1.0
-2.8219 -7.6920 1.8204
3.3715 0.5771 7.6645
-3.1326 1.4495 1.2688
S Bi Sb
4 4 2
Cartesian
0.8432 -0.8364 3.0372 S
-1.3362 -4.8139 2.2005 S
1.8858 -2.3010 7.2844 S
-0.2936 -6.2785 6.4477 S
-2.8101 -5.2848 4.4288 Bi
-0.8192 -4.1642 8.0642 Bi
-1.7639 -1.5012 2.6896 Bi
0.2271 -0.3806 6.3249 Bi
0.0000 0.0000 0.0000 Sb
0.2748 -3.5575 4.7425 Sb
```

Results
Electronic total energy: -19.5 eV/f.u.
Crystal system: tetragonal
Energy relative to the lowest polymorph listed for this composition: 0.0000 eV/atom
Magnetic moment: 0.000 μB per formula unit
Density: 7741 kg/m3
SG: P4/mbm (127)